Compound: NaSmO3
Source: OQMD
Functional: PBE-GGA
Structure: optimized geometry

```
20
Lattice="-5.369 -0.535 2.869 0.528 -6.220 -0.171 3.325 0.110 6.244" Properties=species:S:1:pos:R:3 pbc="T T T"
O -0.427 -5.535 2.329
Sm 1.926 -3.055 3.036
O -2.515 -2.052 4.235
O -3.323 -5.222 3.011
Sm -2.685 -0.267 1.434
O 1.806 -1.423 5.931
Na -2.323 -6.381 7.362
O -1.573 -4.294 6.926
Na 0.000 -3.014 6.066
Sm 0.264 -3.110 -0.086
Na -1.516 -3.631 2.876
O 0.998 -4.592 4.706
O 1.097 -1.446 4.598
O -1.090 -1.109 6.612
O 1.708 -4.569 6.039
Na 0.806 -0.263 1.579
Sm -1.022 -0.212 4.556
O 0.056 -2.350 2.016
O -2.613 -5.198 4.343
O -3.224 -2.076 2.902
```

Properties
Calculated density = 5.45 g cm⁻³

***

Compound: Nb2SiAs2
Source: OQMD
Functional: PBE-GGA
Structure: optimized geometry

```
5
Lattice="-2.417 2.417 4.019 2.417 -2.417 4.019 2.417 2.417 -4.019" Properties=species:S:1:pos:R:3 pbc="T T T"
Nb 2.417 0.000 2.010
As 0.000 0.000 2.847
Si 0.000 0.000 0.000
Nb 0.000 2.417 2.010
As 0.000 0.000 5.191
```

Properties
Calculated density = 6.43 g cm⁻³

***

Compound: Na2IrO3
Source: OQMD
Functional: PBE-GGA
Structure: optimized geometry

```
12
Lattice="2.731 -4.723 0.000 2.731 4.723 0.000 -1.840 0.000 5.230" Properties=species:S:1:pos:R:3 pbc="T T T"
O 3.472 0.000 1.101
Ir 2.731 -1.576 0.000
O 0.999 1.730 1.093
Na 1.811 -3.220 2.615
Ir 2.731 1.576 0.000
O 2.623 -1.730 4.136
Na 0.000 0.000 0.000
O 2.623 1.730 4.136
Na 1.811 0.000 2.615
Na 1.811 3.220 2.615
O 0.999 -1.730 1.093
O 0.150 0.000 4.129
```

Properties
Calculated density = 7.05 g cm⁻³

***

Compound: Li3Hf2O6
Source: OQMD
Functional: PBE-GGA
Structure: optimized geometry

```
11
Lattice="-2.701 -4.636 0.017 -2.701 4.636 0.017 1.864 0.000 -4.850" Properties=species:S:1:pos:R:3 pbc="T T T"
Li -1.769 1.361 -2.408
Hf -2.701 3.091 0.017
O -3.729 1.750 -1.160
O 0.190 -1.750 -3.656
O -3.729 -1.750 -1.160
O -2.876 0.000 -3.588
O -0.663 0.000 -1.227
Li -1.769 -1.361 -2.408
Hf -2.701 -3.091 0.017
Li 0.932 0.000 -2.425
O 0.190 1.750 -3.656
```

Properties
Calculated density = 6.49 g cm⁻³

***

Compound: Li2InIr
Source: OQMD
Functional: PBE-GGA
Structure: optimized geometry

```
8
Lattice="-0.100 4.218 -1.370 -4.165 0.381 1.479 2.162 1.872 5.607" Properties=species:S:1:pos:R:3 pbc="T T T"
In -1.052 3.236 2.858
Li -1.542 0.658 2.140
Ir 0.490 2.577 0.716
In 0.000 0.000 0.000
Li 1.572 3.514 3.521
Li -2.133 2.300 0.054
Ir -0.461 1.595 4.946
Li 1.081 0.936 2.803
```

Properties
Calculated density = 8.60 g cm⁻³

***

Compound: SrGa2NiIr
Source: OQMD
Functional: PBE-GGA
Structure: optimized geometry

```
10
Lattice="4.337 0.000 0.000 0.000 4.337 0.000 0.000 0.000 10.009" Properties=species:S:1:pos:R:3 pbc="T T T"
Sr 2.169 0.000 2.409
Ni 0.000 0.000 0.000
Ga 0.000 2.169 1.108
Ga 2.169 2.169 5.005
Ir 0.000 2.169 3.661
Sr 0.000 2.169 7.600
Ni 2.169 2.169 0.000
Ga 0.000 0.000 5.005
Ga 2.169 0.000 8.901
Ir 2.169 0.000 6.348
```

Properties
Calculated density = 8.43 g cm⁻³

***

Compound: PaInTe
Source: OQMD
Functional: PBE-GGA
Structure: optimized geometry

```
3
Lattice="0.000 3.604 3.604 3.604 0.000 3.604 3.604 3.604 0.000" Properties=species:S:1:pos:R:3 pbc="T T T"
In 1.802 1.802 1.802
Pa 5.406 5.406 5.406
Te 0.000 0.000 0.000
```

Properties
Calculated density = 8.40 g cm⁻³

***

Compound: ScTlFeIr
Source: OQMD
Functional: PBE-GGA
Structure: optimized geometry

```
4
Lattice="1.284 -4.431 -0.304 -0.728 -2.867 3.554 -3.203 -3.318 -0.325" Properties=species:S:1:pos:R:3 pbc="T T T"
Ir -1.323 -5.308 1.462
Sc -0.662 -2.654 0.731
Fe -1.985 -7.962 2.194
Tl 0.000 0.000 0.000
```

Properties
Calculated density = 11.82 g cm⁻³

***

Compound: LaDyNi8B2
Source: OQMD
Functional: PBE-GGA
Structure: optimized geometry

```
12
Lattice="-4.666 1.861 -0.600 2.003 -2.998 -3.549 -2.648 -5.596 3.233" Properties=species:S:1:pos:R:3 pbc="T T T"
B -3.767 -2.556 0.034
Ni -3.102 -0.695 0.639
Ni 0.232 -3.125 -0.835
La -1.324 -2.798 1.616
Dy 0.000 0.000 0.000
Ni -3.210 -4.538 0.219
Ni -2.443 0.242 -1.583
Ni -4.212 -3.039 1.994
B -1.544 -4.176 -0.949
Ni -2.101 -2.194 -1.135
Ni -0.220 -1.378 -2.566
Ni -0.877 -5.469 0.519
```

Properties
Calculated density = 8.50 g cm⁻³

***

Compound: TaCS2
Source: OQMD
Functional: PBE-GGA
Structure: optimized geometry

```
8
Lattice="-1.479 2.392 1.411 0.001 -2.853 1.328 10.463 2.855 6.129" Properties=species:S:1:pos:R:3 pbc="T T T"
C 5.231 1.427 3.065
Ta 1.630 1.357 2.916
C 0.000 0.000 0.000
S 3.605 0.014 3.756
S 0.641 -0.795 2.020
S 8.343 3.189 6.848
S 5.379 2.380 5.112
Ta 7.354 1.037 5.952
```

Properties
Calculated density = 7.99 g cm⁻³

***

Compound: CuAg4
Source: OQMD
Functional: PBE-GGA
Structure: optimized geometry

```
10
Lattice="7.039 0.000 0.000 0.000 2.899 0.000 -2.117 0.000 8.238" Properties=species:S:1:pos:R:3 pbc="T T T"
Ag 0.088 1.450 4.883
Cu 0.048 0.000 2.462
Ag 4.705 0.000 0.875
Ag 4.834 1.450 3.355
Ag 2.291 1.450 1.671
Ag 2.461 0.000 4.119
Cu 4.874 0.000 5.776
Ag 2.631 1.450 6.567
Ag 0.000 1.450 0.000
Ag 0.217 0.000 7.364
```

Properties
Calculated density = 9.78 g cm⁻³

***

Compound: Cs3Pd3N2
Source: OQMD
Functional: PBE-GGA
Structure: optimized geometry

```
8
Lattice="2.845 1.643 6.820 -2.845 1.643 6.820 0.000 -3.286 6.820" Properties=species:S:1:pos:R:3 pbc="T T T"
Pd -1.423 -0.821 6.820
Cs 0.000 0.000 10.231
Pd 1.423 -0.821 6.820
N 0.000 0.000 5.565
Cs 0.000 0.000 1.944
Pd 0.000 1.643 6.820
N 0.000 0.000 14.896
Cs 0.000 0.000 18.517
```

Properties
Calculated density = 6.48 g cm⁻³

***

Compound: YFe2SiGe
Source: OQMD
Functional: PBE-GGA
Structure: optimized geometry

```
5
Lattice="-1.993 1.993 4.861 1.993 -1.993 4.861 1.993 1.993 -4.861" Properties=species:S:1:pos:R:3 pbc="T T T"
Y 0.000 0.000 0.007
Ge 0.000 0.000 3.612
Fe 1.993 0.000 2.385
Fe 0.000 1.993 2.385
Si 0.000 0.000 6.192
```

Properties
Calculated density = 6.48 g cm⁻³

***

Compound: KErB4
Source: OQMD
Functional: PBE-GGA
Structure: optimized geometry

```
6
Lattice="1.300 -2.240 4.682 -4.511 0.526 2.829 2.359 -2.379 -4.172" Properties=species:S:1:pos:R:3 pbc="T T T"
B 1.693 -3.632 2.301
B -1.152 -2.217 1.233
Er 0.000 0.000 0.000
K -1.605 -0.857 3.756
B 0.301 -1.876 2.107
B -2.544 -0.461 1.039
```

Properties
Calculated density = 5.35 g cm⁻³

***

Compound: Ho2Er3TmCuSe2
Source: OQMD
Functional: PBE-GGA
Structure: optimized geometry

```
9
Lattice="3.822 0.000 0.000 0.000 7.025 4.044 0.000 -7.025 4.044" Properties=species:S:1:pos:R:3 pbc="T T T"
Cu 0.000 0.000 0.009
Er 1.911 0.000 6.067
Ho 0.000 4.143 2.385
Ho 0.000 -4.143 2.385
Se 1.911 -2.342 4.046
Se 1.911 2.342 4.046
Er 1.911 -1.750 1.011
Er 1.911 1.750 1.011
Tm 0.000 0.000 3.305
```

Properties
Calculated density = 9.34 g cm⁻³

***

Compound: Ta2Zn3O8
Source: OQMD
Functional: PBE-GGA
Structure: optimized geometry

```
26
Lattice="4.538 -4.220 -0.122 -4.538 -4.220 0.122 3.934 0.000 -8.371" Properties=species:S:1:pos:R:3 pbc="T T T"
Zn 0.524 -3.977 -4.083
O 3.917 -0.845 -7.461
O 4.110 -5.350 -7.619
O 4.621 -5.400 -3.112
O 0.018 -7.595 -0.910
O 1.560 -3.192 -7.090
Zn 0.984 -6.391 -2.093
Ta 1.707 -7.229 -5.235
O 4.342 -3.192 -5.468
O 6.588 -3.040 -7.298
O -0.408 -5.249 -2.904
Zn 3.411 -4.463 -4.288
Ta -0.260 -1.211 -1.050
Ta 2.227 -1.211 -3.136
Ta 4.195 -7.229 -7.322
O 2.375 -5.249 -1.282
Zn 1.444 -3.977 -0.102
O 1.950 -7.595 -3.276
O 1.985 -0.845 -5.096
O -0.686 -3.040 -5.259
Zn 2.951 -2.049 -6.279
Zn 2.491 -4.463 -8.269
O -2.653 -5.400 -1.073
O 2.143 -3.090 -3.433
O 1.792 -5.350 -4.939
O -0.175 -3.090 -0.753
```

Properties
Calculated density = 7.20 g cm⁻³

***

Compound: KBaZrAu
Source: OQMD
Functional: PBE-GGA
Structure: optimized geometry

```
4
Lattice="-4.948 -3.083 -0.052 -5.105 2.694 -0.822 -2.919 -0.745 -4.992" Properties=species:S:1:pos:R:3 pbc="T T T"
Au -9.728 -0.851 -4.399
Ba 0.000 0.000 0.000
Zr -3.243 -0.284 -1.466
K -6.486 -0.567 -2.933
```

Properties
Calculated density = 5.51 g cm⁻³

***

Compound: BaHfHg
Source: OQMD
Functional: PBE-GGA
Structure: optimized geometry

```
3
Lattice="0.000 3.734 3.734 3.734 0.000 3.734 3.734 3.734 0.000" Properties=species:S:1:pos:R:3 pbc="T T T"
Hg 5.601 5.601 5.601
Ba 0.000 0.000 0.000
Hf 1.867 1.867 1.867
```

Properties
Calculated density = 8.24 g cm⁻³

***

Compound: HoErCoGe2
Source: OQMD
Functional: PBE-GGA
Structure: optimized geometry

```
10
Lattice="-2.064 -3.104 4.168 -1.638 -5.308 0.637 10.012 1.557 0.235" Properties=species:S:1:pos:R:3 pbc="T T T"
Er 5.861 -5.463 4.116
Ge -0.562 -3.883 2.356
Ho 3.001 -7.327 4.935
Co 0.829 -5.545 3.561
Ho 3.309 0.472 0.105
Ge 3.087 -2.224 1.760
Ge 6.872 -2.972 2.684
Co 5.482 -1.310 1.479
Ge 3.223 -4.631 3.279
Er 0.449 -1.392 0.923
```

Properties
Calculated density = 9.16 g cm⁻³

***

Compound: DyPbAuS3
Source: OQMD
Functional: PBE-GGA
Structure: optimized geometry

```
24
Lattice="4.119 0.000 0.000 0.000 11.584 0.000 0.000 0.000 12.643" Properties=species:S:1:pos:R:3 pbc="T T T"
Pb 1.030 9.669 11.874
Pb 3.089 7.707 5.553
Au 3.089 9.091 1.578
S 1.030 4.677 11.930
Au 1.030 2.493 11.065
Dy 3.089 6.061 10.647
Au 3.089 3.299 4.744
Pb 1.030 3.877 7.090
S 1.030 6.114 8.785
S 3.089 2.954 8.685
S 3.089 6.907 0.713
S 1.030 10.469 7.035
S 3.089 5.470 3.858
S 3.089 1.115 5.608
Dy 3.089 0.269 8.317
Dy 1.030 5.523 1.995
S 3.089 8.746 10.280
S 1.030 8.630 3.958
S 1.030 0.322 10.179
Au 1.030 8.286 7.899
S 3.089 11.262 2.464
S 1.030 2.838 2.363
Pb 3.089 1.915 0.768
Dy 1.030 11.315 4.326
```

Properties
Calculated density = 7.30 g cm⁻³

***

Number 1: energy -6.14 eV per atom. Number 2: energy -6.97 eV per atom. Number 3: energy -5.58 eV per atom. Number 4: energy -7.67 eV per atom. Number 5: energy -4.13 eV per atom. Number 6: energy -4.91 eV per atom. Number 7: energy -4.99 eV per atom. Number 8: energy -6.44 eV per atom. Number 9: energy -6.05 eV per atom. Number 10: energy -6.56 eV per atom. Number 11: energy -2.95 eV per atom. Number 12: energy -4.19 eV per atom. Number 13: energy -7.20 eV per atom. Number 14: energy -5.20 eV per atom. Number 15: energy -4.92 eV per atom. Number 16: energy -7.35 eV per atom. Number 17: energy -3.06 eV per atom. Number 18: energy -2.92 eV per atom. Number 19: energy -5.85 eV per atom. Number 20: energy -4.99 eV per atom.